{
  "formula": "YBeCu2H",
  "functional": "PBEsol",
  "state": "optimized geometry",
  "mass_density_g_cm3": 5.596,
  "e_tot_ev_per_cell": -21.81,
  "m_tot_mub_per_fu": 0.00,
  "dos_at_fermi_per_ev_atom": 0.431,
  "lattice": [[4.232, 0.000, 0.000], [0.000, 4.232, 0.000], [0.000, 0.000, 3.746]],
  "species": ["Y", "Be", "Cu", "Cu", "H"],
  "fractional_positions": [[0.000, 0.000, 0.000], [0.500, 0.500, 0.500], [0.000, 0.500, 0.500], [0.500, 0.000, 0.500], [0.500, 0.500, 0.000]]
}

=====

{
  "formula": "Mg2InTc",
  "functional": "PBEsol",
  "state": "optimized geometry",
  "mass_density_g_cm3": 5.789,
  "delta_e_f_mev_per_atom": 277,
  "m_tot_mub_per_fu": 0.47,
  "dos_at_fermi_per_ev_atom": 0.846,
  "lattice": [[1.499, 0.865, 9.635], [-1.499, 0.865, 9.635], [0.000, -1.731, 9.635]],
  "species": ["Mg", "Mg", "In", "Tc"],
  "fractional_positions": [[0.241, 0.241, 0.241], [0.759, 0.759, 0.759], [0.000, 0.000, 0.000], [0.500, 0.500, 0.500]]
}

=====

{
  "formula": "NbCuPS2",
  "functional": "PBEsol",
  "state": "optimized geometry",
  "raw_formation_energy_kj_per_mol_fu": 180,
  "mass_density_g_cm3": 3.901,
  "m_tot_mub_per_fu": 0.00,
  "dos_at_fermi_per_ev_atom": 0.899,
  "lattice": [[4.682, 0.000, 0.000], [0.000, 4.682, 0.000], [0.000, 0.000, 4.885]],
  "species": ["Nb", "Cu", "P", "S", "S"],
  "fractional_positions": [[0.000, 0.000, 0.000], [0.500, 0.500, 0.500], [0.000, 0.000, 0.500], [0.000, 0.500, 0.000], [0.500, 0.000, 0.000]]
}

=====

{
  "formula": "K2AlNi",
  "functional": "PBEsol",
  "state": "optimized geometry",
  "mass_density_g_cm3": 2.353,
  "delta_e_f_mev_per_atom": 207,
  "m_tot_mub_per_fu": 0.00,
  "dos_at_fermi_per_ev_atom": 0.454,
  "lattice": [[3.393, 0.000, 0.000], [0.000, 3.393, 0.000], [0.000, 0.000, 10.047]],
  "species": ["K", "K", "Al", "Ni"],
  "fractional_positions": [[0.000, 0.000, 0.000], [0.500, 0.500, 0.406], [0.500, 0.500, 0.720], [0.000, 0.000, 0.687]]
}

=====

{
  "formula": "SrP2W",
  "functional": "PBEsol",
  "state": "optimized geometry",
  "mass_density_g_cm3": 6.454,
  "delta_e_f_mev_per_atom": -47,
  "m_tot_mub_per_fu": 0.00,
  "dos_at_fermi_per_ev_atom": 0.880,
  "lattice": [[3.425, 0.000, 0.000], [0.000, 3.425, 0.000], [0.000, 0.000, 7.313]],
  "species": ["Sr", "P", "P", "W"],
  "fractional_positions": [[0.000, 0.000, 0.000], [0.000, 0.000, 0.404], [0.500, 0.500, 0.772], [0.500, 0.500, 0.462]]
}

=====

{
  "formula": "Zr5Ag",
  "functional": "PBEsol",
  "state": "optimized geometry",
  "polymorph_energy_ev_per_atom": 0.043,
  "mass_density_g_cm3": 7.376,
  "delta_e_f_mev_per_atom": 4,
  "m_tot_mub_per_fu": 0.00,
  "dos_at_fermi_per_ev_atom": 1.045,
  "lattice": [[5.646, -1.557, 0.000], [5.646, 1.557, 0.000], [-1.982, 0.000, 7.220]],
  "species": ["Zr", "Zr", "Zr", "Zr", "Zr", "Ag"],
  "fractional_positions": [[0.000, 0.000, 0.000], [0.019, 0.019, 0.610], [0.377, 0.377, 0.265], [0.662, 0.662, 0.358], [0.714, 0.714, 0.928], [0.312, 0.312, 0.667]]
}